Entry 1:
Ce8Ge4Te3 | PBE | relaxed

a = 12.2770 Å, b = 12.3015 Å, c = 8.6835 Å
α = 90.00°, β = 134.86°, γ = 90.00°
Space group C2/m (No. 12)
Unique sites:
1 Ce 0.0000 0.2426 0.0000
2 Ce 0.0000 0.2428 0.5000
3 Ce 0.2321 0.0000 0.4818
4 Ce 0.2372 0.0000 0.9847
5 Ge 0.0000 0.0000 0.0000
6 Ge 0.0000 0.0000 0.5000
7 Ge 0.2500 0.2500 0.0000
8 Te 0.0000 0.5000 0.5000
9 Te 0.2500 0.2500 0.5000

DOS(E_F): 92.38 states/eV per cell
E_form (uncorrected): -0.86 eV/atom

Entry 2:
Ce4Ge3Te | PBE | relaxed

a = 8.6175 Å, b = 12.1565 Å, c = 4.2954 Å
α = 90.00°, β = 90.00°, γ = 90.00°
Space group Cmmm (No. 65)
Unique sites:
1 Ce 0.0000 0.2434 0.0000
2 Ce 0.2360 0.0000 0.5000
3 Ge 0.0000 0.0000 0.0000
4 Ge 0.2500 0.2500 0.5000
5 Te 0.0000 0.5000 0.0000

DOS(E_F): 32.35 states/eV per cell
E_form (uncorrected): -0.87 eV/atom

Entry 3:
Ce4Ge2Te | PBE | relaxed

a = 9.0605 Å, b = 9.0605 Å, c = 9.1609 Å
α = 90.00°, β = 90.00°, γ = 90.00°
Space group I-42d (No. 122)
Unique sites:
1 Ce 0.0767 0.6675 0.4350
2 Ge 0.1350 0.7500 0.1250
3 Te 0.0000 0.0000 0.5000

DOS(E_F): 89.51 states/eV per cell
E_form (uncorrected): -0.85 eV/atom

Entry 4:
Ce5GeTe4 | PBE | relaxed

a = 4.4464 Å, b = 4.4464 Å, c = 31.4356 Å
α = 90.00°, β = 90.00°, γ = 90.00°
Space group I4/mmm (No. 139)
Unique sites:
1 Ce 0.0000 0.0000 0.0000
2 Ce 0.0000 0.0000 0.2019
3 Ce 0.0000 0.0000 0.4056
4 Ge 0.0000 0.0000 0.5000
5 Te 0.0000 0.0000 0.1006
6 Te 0.0000 0.0000 0.3029

DOS(E_F): 67.97 states/eV per cell
E_form (uncorrected): -1.24 eV/atom

Entry 5:
Ce5Ge2Te2 | PBE | relaxed

a = 15.6462 Å, b = 8.0453 Å, c = 8.0554 Å
α = 90.00°, β = 90.00°, γ = 90.00°
Space group Cmce (No. 64)
Unique sites:
1 Ce 0.0000 0.0000 0.0000
2 Ce 0.1270 0.1670 0.3329
3 Ge 0.0000 0.1339 0.6332
4 Te 0.2050 0.0000 0.0000

DOS(E_F): 109.90 states/eV per cell
E_form (uncorrected): -0.95 eV/atom

Entry 6:
CeGeTe3 | PBE | relaxed

a = 8.8141 Å, b = 4.2515 Å, c = 15.8597 Å
α = 90.00°, β = 90.00°, γ = 90.00°
Space group Pnma (No. 62)
Unique sites:
1 Ce 0.1282 0.2500 0.1938
2 Ge 0.1685 0.7500 0.4479
3 Te 0.0148 0.7500 0.6185
4 Te 0.1509 0.7500 0.0459
5 Te 0.1603 0.2500 0.7935

DOS(E_F): 23.39 states/eV per cell
E_form (uncorrected): -0.70 eV/atom

Entry 7:
Ce5Ge2Te2 | PBE | relaxed

a = 17.0518 Å, b = 7.6624 Å, c = 8.1893 Å
α = 90.00°, β = 90.00°, γ = 90.00°
Space group Ima2 (No. 46)
Unique sites:
1 Ce 0.0501 0.2162 0.0000
2 Ce 0.1654 0.6334 0.1393
3 Ce 0.2500 0.1850 0.2682
4 Ge 0.0000 0.0000 0.7250
5 Ge 0.2500 0.5257 0.4538
6 Te 0.0981 0.5423 0.7934

DOS(E_F): 112.55 states/eV per cell
E_form (uncorrected): -0.69 eV/atom

Entry 8:
Ce3Ge2Te | PBE | relaxed

a = 4.4961 Å, b = 15.3793 Å, c = 9.2741 Å
α = 90.00°, β = 90.00°, γ = 90.00°
Space group Cmcm (No. 63)
Unique sites:
1 Ce 0.0000 0.1280 0.2500
2 Ce 0.0000 0.3662 0.0364
3 Ge 0.0000 0.0000 0.0000
4 Ge 0.0000 0.4935 0.7500
5 Te 0.0000 0.2229 0.7500

DOS(E_F): 58.41 states/eV per cell
E_form (uncorrected): -0.74 eV/atom

Entry 9:
Ce3Ge5Te12 | PBE | relaxed

a = 17.5065 Å, b = 17.5065 Å, c = 17.5065 Å
α = 90.00°, β = 90.00°, γ = 90.00°
Space group Ia-3d (No. 230)
Unique sites:
1 Ce 0.0000 0.2500 0.1250
2 Ge 0.0000 0.0000 0.0000
3 Ge 0.0000 0.2500 0.3750
4 Te 0.0220 0.0634 0.6520

DOS(E_F): 161.37 states/eV per cell
E_form (uncorrected): -0.51 eV/atom

Entry 10:
Ce8Ge3Te2 | PBE | relaxed

a = 15.1514 Å, b = 7.5943 Å, c = 6.4230 Å
α = 90.00°, β = 93.48°, γ = 90.00°
Space group C2/m (No. 12)
Unique sites:
1 Ce 0.0782 0.0000 0.4166
2 Ce 0.1057 0.1858 0.8848
3 Ce 0.1632 0.5000 0.3128
4 Ge 0.0000 0.3372 0.5000
5 Ge 0.0000 0.5000 0.0000
6 Te 0.2435 0.5000 0.8055

DOS(E_F): 77.76 states/eV per cell
E_form (uncorrected): -0.50 eV/atom

Entry 11:
Ce5GeTe4 | PBE | relaxed

a = 9.9496 Å, b = 9.9496 Å, c = 6.2962 Å
α = 90.00°, β = 90.00°, γ = 90.00°
Space group I4/m (No. 87)
Unique sites:
1 Ce 0.0000 0.0000 0.0000
2 Ce 0.0983 0.7150 0.5000
3 Ge 0.0000 0.0000 0.5000
4 Te 0.0941 0.6965 0.0000

DOS(E_F): 69.04 states/eV per cell
E_form (uncorrected): -1.26 eV/atom

Entry 12:
CeThGeTe | PBE | relaxed

a = 4.3790 Å, b = 4.3790 Å, c = 6.2201 Å
α = 90.00°, β = 90.00°, γ = 90.00°
Space group P4/mmm (No. 123)
Unique sites:
1 Ce 0.0000 0.0000 0.0000
2 Th 0.5000 0.5000 0.5000
3 Ge 0.0000 0.0000 0.5000
4 Te 0.5000 0.5000 0.0000

DOS(E_F): 7.40 states/eV per cell
E_form (uncorrected): -1.02 eV/atom